CaCd6In2 | PBE | optimized geometry

The crystal system is monoclinic. For the polymorph energy (0 for the lowest one), the calculation gives 0 meV/atom. As for the formation energy from the elements: -101.1 meV/atom.

The space group is C2/m (No. 12) and the conventional cell measures 15.3750, 8.9164 and 3.3543 Å, with angles of 90.00, 102.31 and 90.00 degrees. Symmetry generates all atoms from Ca at (0.0000, 0.0000, 0.0000), Cd at (0.0000, 0.3231, 0.5000), Cd at (0.1736, 0.1691, 0.6714) and In at (0.1490, 0.5000, 0.1494).



CaCd2In3 | PBE | optimized geometry

The crystal system is orthorhombic. As for the formation energy from the elements: -191.8 meV/atom.

The space group is Cmmm (No. 65) and the conventional cell measures 4.6690, 13.9663 and 4.6818 Å, with angles of 90.00, 90.00 and 90.00 degrees. Symmetry generates all atoms from Ca at (0.0000, 0.0000, 0.0000), Cd at (0.0000, 0.3271, 0.0000), In at (0.0000, 0.1699, 0.5000) and In at (0.0000, 0.5000, 0.5000).



CaCd2In6 | PBE | optimized geometry

The crystal system is trigonal. For the polymorph energy (0 for the lowest one), the calculation gives 39 meV/atom. As for the formation energy from the elements: -43.4 meV/atom.

The space group is R-3m (No. 166, hexagonal axes) and the conventional cell measures 5.0382, 5.0382 and 34.2967 Å, with angles of 90.00, 90.00 and 120.00 degrees. Symmetry generates all atoms from Ca at (0.0000, 0.0000, 0.0000), Cd at (0.0000, 0.0000, 0.1042), In at (0.0000, 0.0000, 0.1930), In at (0.0000, 0.0000, 0.2914) and In at (0.0000, 0.0000, 0.4007).



Ca2Cd5In | PBE | optimized geometry

The crystal system is orthorhombic. As for the formation energy from the elements: -253.6 meV/atom.

The space group is Cmcm (No. 63) and the conventional cell measures 4.5413, 18.1649 and 10.2656 Å, with angles of 90.00, 90.00 and 90.00 degrees. Symmetry generates all atoms from Ca at (0.0000, 0.0000, 0.0000), Ca at (0.0000, 0.1844, 0.2500), Cd at (0.0000, 0.2023, 0.6028), Cd at (0.0000, 0.3629, 0.5305), Cd at (0.0000, 0.3825, 0.2500) and In at (0.0000, 0.4614, 0.7500).



Ca7Cd2In2 | PBE | optimized geometry

The crystal system is orthorhombic. As for the formation energy from the elements: -140.1 meV/atom.

The space group is Cmmm (No. 65) and the conventional cell measures 8.0422, 11.8355 and 8.2107 Å, with angles of 90.00, 90.00 and 90.00 degrees. Symmetry generates all atoms from Ca at (0.0000, 0.0000, 0.0000), Ca at (0.0000, 0.5000, 0.2569), Ca at (0.2500, 0.2500, 0.2871), Cd at (0.0000, 0.2925, 0.0000) and In at (0.1765, 0.0000, 0.5000).



Ca2Cd5In4 | PBE | optimized geometry

The crystal system is orthorhombic. As for the formation energy from the elements: -123.5 meV/atom.

The space group is Fmmm (No. 69) and the conventional cell measures 5.9689, 10.1393 and 20.3254 Å, with angles of 90.00, 90.00 and 90.00 degrees. Symmetry generates all atoms from Ca at (0.0000, 0.0000, 0.0981), Cd at (0.0000, 0.0000, 0.5000), Cd at (0.2500, 0.2500, 0.0000), Cd at (0.2500, 0.2500, 0.2500) and In at (0.0000, 0.1560, 0.3674).